# PBE-GGA Nd3Zn2Au, relaxed
# - DOS at the Fermi energy: 6.0 states/eV per cell
# - V: 25.38 A^3/atom
# - Magnetic moment: 0.000 μB per atom
# - Polymorph energy (0 for the lowest one): 0.32 kcal/mol of atoms
# - Formation energy from the elements: -0.45 eV/atom
data_Nd3Zn2Au
_symmetry_space_group_name_H-M 'P -3 m 1'
_symmetry_Int_Tables_number 164
_symmetry_space_group_name_Hall '-P 3 2"'
_cell_length_a 5.2303
_cell_length_b 5.2303
_cell_length_c 6.4279
_cell_angle_alpha 90.00
_cell_angle_beta 90.00
_cell_angle_gamma 120.00
loop_
_atom_site_label
_atom_site_fract_x
_atom_site_fract_y
_atom_site_fract_z
_atom_site_occupancy
Nd1 0.0000 0.0000 0.0000 1
Nd2 0.3333 0.6667 0.6624 1
Zn1 0.3333 0.6667 0.1487 1
Au1 0.0000 0.0000 0.5000 1

# PBE-GGA Ba2CdGa2O6, relaxed
# - DOS at the Fermi energy: 0.0 states/eV per cell
# - V: 17.31 A^3/atom
# - Magnetic moment: 0.000 μB per atom
data_Ba2CdGa2O6
_symmetry_space_group_name_H-M 'R -3 m'
_symmetry_Int_Tables_number 166
_symmetry_space_group_name_Hall '-R 3 2"'
_cell_length_a 6.0365
_cell_length_b 6.0365
_cell_length_c 18.1060
_cell_angle_alpha 90.00
_cell_angle_beta 90.00
_cell_angle_gamma 120.00
loop_
_atom_site_label
_atom_site_fract_x
_atom_site_fract_y
_atom_site_fract_z
_atom_site_occupancy
Ba1 0.0000 0.0000 0.2081 1
Cd1 0.0000 0.0000 0.0000 1
Ga1 0.0000 0.0000 0.4180 1
O1 0.0086 0.5043 0.7555 1

Calculated total energy: -3.807 -5.570 (eV/atom)